A plane-wave DFT calculation with PBE was carried out for a relaxed AcTcF crystal.

Geometry as CIF:
```
data_AcTcF
_cell_length_a 3.448
_cell_length_b 3.448
_cell_length_c 9.837
_cell_angle_alpha 90.00
_cell_angle_beta 90.00
_cell_angle_gamma 90.00
_symmetry_space_group_name_H-M 'P 4/n m m'
_symmetry_Int_Tables_number 129
loop_
_symmetry_equiv_pos_as_xyz
'x,y,z'
'-x,-y,-z'
'-y+1/2,x,z'
'y+1/2,-x,-z'
'-x+1/2,-y+1/2,z'
'x+1/2,y+1/2,-z'
'y,-x+1/2,z'
'-y,x+1/2,-z'
'x+1/2,-y,-z'
'-x+1/2,y,z'
'-y,-x,-z'
'y,x,z'
'-x,y+1/2,-z'
'x,-y+1/2,z'
'y+1/2,x+1/2,-z'
'-y+1/2,-x+1/2,z'
loop_
_atom_site_label
_atom_site_fract_x
_atom_site_fract_y
_atom_site_fract_z
Ac1 0.250 0.250 0.207
Tc1 0.250 0.250 0.549
F1 0.250 0.250 0.926
```

Results
ΔE_f (raw)   -1424 meV/atom

---

A plane-wave DFT calculation with PBE was carried out for a relaxed TlNiTe2N crystal.

Geometry as CIF:
```
data_TlNiTe2N
_cell_length_a 5.882
_cell_length_b 5.882
_cell_length_c 4.122
_cell_angle_alpha 90.00
_cell_angle_beta 90.00
_cell_angle_gamma 90.00
_symmetry_space_group_name_H-M 'P 4/m m m'
_symmetry_Int_Tables_number 123
_symmetry_space_group_name_Hall '-P 4 2'
loop_
_atom_site_label
_atom_site_fract_x
_atom_site_fract_y
_atom_site_fract_z
Tl1 0.000 0.000 0.000
Ni1 0.500 0.500 0.500
Te1 0.000 0.500 0.000
N1 0.000 0.000 0.500
```

Results
ΔE_f (raw)   1604 meV/atom

---

A plane-wave DFT calculation with PBE was carried out for a relaxed BTe3Ru crystal.

Geometry as CIF:
```
data_BTe3Ru
_cell_length_a 4.688
_cell_length_b 4.688
_cell_length_c 4.688
_cell_angle_alpha 90.00
_cell_angle_beta 90.00
_cell_angle_gamma 90.00
_symmetry_space_group_name_H-M 'P m -3 m'
_symmetry_Int_Tables_number 221
_symmetry_space_group_name_Hall '-P 4 2 3'
loop_
_atom_site_label
_atom_site_fract_x
_atom_site_fract_y
_atom_site_fract_z
B1 0.000 0.000 0.000
Te1 0.000 0.000 0.500
Ru1 0.500 0.500 0.500
```

Results
ΔE_f (raw)   1091 meV/atom

---

A plane-wave DFT calculation with PBE was carried out for a relaxed Fe2SnPd8 crystal.

Geometry as CIF:
```
data_Fe2SnPd8
_cell_length_a 7.241
_cell_length_b 11.640
_cell_length_c 4.581
_cell_angle_alpha 90.00
_cell_angle_beta 112.58
_cell_angle_gamma 90.00
_symmetry_space_group_name_H-M 'C 1 2/m 1'
_symmetry_Int_Tables_number 12
loop_
_symmetry_equiv_pos_as_xyz
'x,y,z'
'-x,-y,-z'
'-x,y,-z'
'x,-y,z'
'x+1/2,y+1/2,z'
'-x+1/2,-y+1/2,-z'
'-x+1/2,y+1/2,-z'
'x+1/2,-y+1/2,z'
loop_
_atom_site_label
_atom_site_fract_x
_atom_site_fract_y
_atom_site_fract_z
Fe1 0.000 0.189 0.000
Sn1 0.000 0.500 0.500
Pd1 0.000 0.274 0.500
Pd2 0.109 0.000 0.313
Pd3 0.207 0.380 0.109
```

Results
Energy of formation   -0.067 eV/atom

---

A plane-wave DFT calculation with PBE was carried out for a relaxed Al5W crystal.

Geometry as CIF:
```
data_Al5W
_cell_length_a 4.9346
_cell_length_b 4.9346
_cell_length_c 13.1903
_cell_angle_alpha 90.00
_cell_angle_beta 90.00
_cell_angle_gamma 120.00
_symmetry_space_group_name_H-M 'R 3 2'
_symmetry_Int_Tables_number 155
_symmetry_space_group_name_Hall 'R 3 2"'
loop_
_atom_site_label
_atom_site_fract_x
_atom_site_fract_y
_atom_site_fract_z
Al1 0.0000 0.0000 0.1622
Al2 0.0000 0.6558 0.0000
W1 0.0000 0.0000 0.5000
```

Results
Energy of formation   -0.152 eV/atom

---

A plane-wave DFT calculation with PBE was carried out for a relaxed Pa2NiP3Ir4 crystal.

Geometry as CIF:
```
data_Pa2NiP3Ir4
_cell_length_a 3.968
_cell_length_b 3.968
_cell_length_c 10.351
_cell_angle_alpha 90.00
_cell_angle_beta 90.00
_cell_angle_gamma 90.00
_symmetry_space_group_name_H-M 'P -4 m 2'
_symmetry_Int_Tables_number 115
loop_
_symmetry_equiv_pos_as_xyz
'x,y,z'
'y,-x,-z'
'-x,-y,z'
'-y,x,-z'
'-x,y,z'
'-y,-x,-z'
'x,-y,z'
'y,x,-z'
loop_
_atom_site_label
_atom_site_fract_x
_atom_site_fract_y
_atom_site_fract_z
Pa1 0.000 0.500 0.242
Ni1 0.500 0.500 0.000
P1 0.000 0.000 0.000
P2 0.000 0.500 0.632
Ir1 0.000 0.000 0.500
Ir2 0.000 0.500 0.850
Ir3 0.500 0.500 0.500
```

Results
Energy of formation   -0.832 eV/atom

---

A plane-wave DFT calculation with PBE was carried out for a relaxed LaPr3Sc2 crystal.

Geometry as CIF:
```
data_LaPr3Sc2
_cell_length_a 14.626
_cell_length_b 10.003
_cell_length_c 5.552
_cell_angle_alpha 90.00
_cell_angle_beta 90.00
_cell_angle_gamma 90.00
_symmetry_space_group_name_H-M 'C m c m'
_symmetry_Int_Tables_number 63
_symmetry_space_group_name_Hall '-C 2c 2'
loop_
_atom_site_label
_atom_site_fract_x
_atom_site_fract_y
_atom_site_fract_z
La1 0.000 0.237 0.250
Pr1 0.000 0.402 0.750
Pr2 0.237 0.370 0.750
Sc1 0.104 0.088 0.750
```

Results
Energy of formation   0.245 eV/atom

---

A plane-wave DFT calculation with PBE was carried out for a relaxed NaMg3Sc crystal.

Geometry as CIF:
```
data_NaMg3Sc
_cell_length_a 5.116
_cell_length_b 5.116
_cell_length_c 5.116
_cell_angle_alpha 90.00
_cell_angle_beta 90.00
_cell_angle_gamma 90.00
_symmetry_space_group_name_H-M 'P m -3 m'
_symmetry_Int_Tables_number 221
_symmetry_space_group_name_Hall '-P 4 2 3'
loop_
_atom_site_label
_atom_site_fract_x
_atom_site_fract_y
_atom_site_fract_z
Na1 0.000 0.000 0.000
Mg1 0.000 0.000 0.500
Sc1 0.500 0.500 0.500
```

Results
Energy of formation   0.660 eV/atom

---

For reference, E by record: -6.87, -2.95, -3.98, -5.75, -5.43, -8.48, -5.08, -1.83 eV per atom.
For reference, Fermi-level density of states by record: 0.565, 1.612, 0.556, 0.588, 0.219, 0.436, 1.802, 1.049 states/eV/atom.